U3S3N2 GGA-PBE relaxed; E_form (uncorrected) = -1.4043 eV/atom; calculated total energy = -9.267 eV/atom; density of states at the Fermi level = 1.72 states/eV/atom
1.0
3.632 0.000 0.000
0.000 3.896 0.000
0.000 0.000 20.184
U S N
6 6 4
Direct
0.000 0.000 0.000
0.000 0.500 0.190
0.000 0.500 0.810
0.500 0.000 0.310
0.500 0.000 0.690
0.500 0.500 0.500
0.000 0.000 0.500
0.000 0.500 0.381
0.000 0.500 0.619
0.500 0.000 0.119
0.500 0.000 0.881
0.500 0.500 0.000
0.000 0.000 0.248
0.000 0.000 0.752
0.500 0.500 0.252
0.500 0.500 0.748

U2SN GGA-PBE relaxed; E_form (uncorrected) = -0.9683 eV/atom; calculated total energy = -9.726 eV/atom; energy above the lowest structure with this stoichiometry = 0.879 eV per formula unit; density of states at the Fermi level = 1.50 states/eV/atom
1.0
3.615 0.000 0.000
-1.808 3.131 0.000
0.000 0.000 18.381
U S N
6 3 3
Direct
0.000 0.000 0.000
0.000 0.000 0.133
0.333 0.667 0.667
0.333 0.667 0.800
0.667 0.333 0.333
0.667 0.333 0.467
0.000 0.000 0.564
0.333 0.667 0.231
0.667 0.333 0.898
0.000 0.000 0.735
0.333 0.667 0.402
0.667 0.333 0.068